The following is a DFT calculation (PBE) of crystalline Pr6HgRh2I3 at its relaxed geometry.

Computed properties:
Size of the total moment, μB per formula unit: 0.0
E_form (uncorrected), eV per atom: -0.831
Fermi-level density of states, states/eV/cell: 16.603

a b c (Å): 7.4659 12.9351 8.5509
angles (deg): 90.00 106.96 90.00
Space group C2/m (No. 12)
Asymmetric unit:
Pr1 0.2042 0.0000 0.1919 (multiplicity 4)
Pr2 0.2444 0.3200 0.1930 (multiplicity 8)
Hg1 0.0000 0.5000 0.0000 (multiplicity 2)
Rh1 0.0000 0.1670 0.0000 (multiplicity 4)
I1 0.0000 0.0000 0.5000 (multiplicity 2)
I2 0.0000 0.3371 0.5000 (multiplicity 4)

The following is a DFT calculation (PBE) of crystalline BaSc3Te at its relaxed geometry.

Computed properties:
Size of the total moment, μB per formula unit: 2.6
ΔE to the lowest computed polymorph, meV/atom: 0
E_form (uncorrected), eV per atom: 0.036
Fermi-level density of states, states/eV/cell: 8.968

a b c (Å): 5.5583 5.5583 5.5583
angles (deg): 90.00 90.00 90.00
Space group Pm-3m (No. 221)
Asymmetric unit:
Ba1 0.0000 0.0000 0.0000 (multiplicity 1)
Sc1 0.0000 0.5000 0.5000 (multiplicity 3)
Te1 0.5000 0.5000 0.5000 (multiplicity 1)

The following is a DFT calculation (PBE) of crystalline Ac2ThIr2I2 at its relaxed geometry.

Computed properties:
Size of the total moment, μB per formula unit: 0.0
E_form (uncorrected), eV per atom: -0.873
Fermi-level density of states, states/eV/cell: 10.546

a b c (Å): 5.3042 5.3042 17.6255
angles (deg): 90.00 90.00 90.00
Space group I4/mmm (No. 139)
Asymmetric unit:
Ac1 0.0000 0.0000 0.1072 (multiplicity 4)
Th1 0.0000 0.0000 0.5000 (multiplicity 2)
Ir1 0.0000 0.5000 0.0000 (multiplicity 4)
I1 0.0000 0.0000 0.3069 (multiplicity 4)